(1)
Here is a relaxed structure of HoTcPt from OQMD. Energies are from PBE-GGA.

Output
Space-group type   F-43m, No. 216
Offset from the most stable computed form   0.5270 eV per atom
Formation energy   0.543 eV per atom

Unit cell a=6.400 b=6.400 c=6.400 alpha=90.00 beta=90.00 gamma=90.00
Fractional positions:
1 Ho 0.000 0.000 0.000
2 Ho 0.000 0.500 0.500
3 Ho 0.500 0.000 0.500
4 Ho 0.500 0.500 0.000
5 Tc 0.250 0.250 0.250
6 Tc 0.250 0.750 0.750
7 Tc 0.750 0.250 0.750
8 Tc 0.750 0.750 0.250
9 Pt 0.250 0.250 0.750
10 Pt 0.250 0.750 0.250
11 Pt 0.750 0.250 0.250
12 Pt 0.750 0.750 0.750


(2)
Here is a relaxed structure of CoTcSbMo from OQMD. Energies are from PBE-GGA.

Output
Space-group type   F-43m, No. 216
Offset from the most stable computed form   0.0000 eV per atom

Unit cell a=6.280 b=6.280 c=6.280 alpha=90.00 beta=90.00 gamma=90.00
Fractional positions:
1 Co 0.000 0.000 0.000
2 Co 0.000 0.500 0.500
3 Co 0.500 0.000 0.500
4 Co 0.500 0.500 0.000
5 Tc 0.000 0.000 0.500
6 Tc 0.000 0.500 0.000
7 Tc 0.500 0.000 0.000
8 Tc 0.500 0.500 0.500
9 Sb 0.250 0.250 0.750
10 Sb 0.250 0.750 0.250
11 Sb 0.750 0.250 0.250
12 Sb 0.750 0.750 0.750
13 Mo 0.250 0.250 0.250
14 Mo 0.250 0.750 0.750
15 Mo 0.750 0.250 0.750
16 Mo 0.750 0.750 0.250


(3)
Here is a relaxed structure of HoZrRe from OQMD. Energies are from PBE-GGA.

Output
Space-group type   F-43m, No. 216
Formation energy   0.818 eV per atom

Unit cell a=6.553 b=6.553 c=6.553 alpha=90.00 beta=90.00 gamma=90.00
Fractional positions:
1 Ho 0.000 0.000 0.000
2 Ho 0.000 0.500 0.500
3 Ho 0.500 0.000 0.500
4 Ho 0.500 0.500 0.000
5 Zr 0.250 0.250 0.250
6 Zr 0.250 0.750 0.750
7 Zr 0.750 0.250 0.750
8 Zr 0.750 0.750 0.250
9 Re 0.000 0.000 0.500
10 Re 0.000 0.500 0.000
11 Re 0.500 0.000 0.000
12 Re 0.500 0.500 0.500